Record 1
! Th2PbAu, optimized geometry, DFT PBE; values from VASP
&SYSTEM
  ibrav = 0, nat = 4, ntyp = 3
/
ATOMIC_SPECIES
Th 232.04 Th.upf
Pb 207.20 Pb.upf
Au 196.97 Au.upf
ATOMIC_POSITIONS angstrom
Th 0.000 0.000 5.593
Th 0.000 0.000 17.316
Pb 0.000 0.000 0.000
Au 0.000 0.000 11.455
CELL_PARAMETERS angstrom
2.176 1.256 7.636
-2.176 1.256 7.636
0.000 -2.513 7.636
! Relative energy among the computed polymorphs, eV per formula unit: 0.53
! DOS at the Fermi energy, states/eV/cell: 4.775
! Space group: R-3m, No. 166
! E_tot, eV per atom: -5.761


Record 2
! Th2PbAu4, optimized geometry, DFT PBE; values from VASP
&SYSTEM
  ibrav = 0, nat = 7, ntyp = 3
/
ATOMIC_SPECIES
Th 232.04 Th.upf
Pb 207.20 Pb.upf
Au 196.97 Au.upf
ATOMIC_POSITIONS angstrom
Th 0.000 0.000 6.304
Th 0.000 0.000 18.966
Pb 0.000 0.000 0.000
Au 0.000 0.000 3.294
Au 0.000 0.000 9.651
Au 0.000 0.000 15.620
Au 0.000 0.000 21.977
CELL_PARAMETERS angstrom
2.503 1.445 8.424
-2.503 1.445 8.424
0.000 -2.891 8.424
! DOS at the Fermi energy, states/eV/cell: 2.102
! Space group: R-3m, No. 166
! E_tot, eV per atom: -5.001


Record 3
! Th3Pb4Au3, optimized geometry, DFT PBE; values from VASP
&SYSTEM
  ibrav = 0, nat = 20, ntyp = 3
/
ATOMIC_SPECIES
Th 232.04 Th.upf
Pb 207.20 Pb.upf
Au 196.97 Au.upf
ATOMIC_POSITIONS angstrom
Th 7.685 1.281 0.000
Th 3.843 0.000 2.562
Th 2.562 3.843 0.000
Th 0.000 2.562 3.843
Th 1.281 0.000 7.685
Th 0.000 7.685 1.281
Pb 4.159 0.965 -0.965
Pb 6.721 -1.597 1.597
Pb 0.965 0.965 0.965
Pb 0.965 -0.965 4.159
Pb -0.965 4.159 0.965
Pb 1.597 6.721 -1.597
Pb 3.526 3.526 3.526
Pb -1.597 1.597 6.721
Au 5.123 -2.562 3.843
Au 3.843 5.123 -2.562
Au 5.123 2.562 1.281
Au 2.562 1.281 5.123
Au 1.281 5.123 2.562
Au -2.562 3.843 5.123
CELL_PARAMETERS angstrom
-5.123 5.123 5.123
5.123 -5.123 5.123
5.123 5.123 -5.123
! DOS at the Fermi energy, states/eV/cell: 12.641
! Space group: I-43d, No. 220
! E_tot, eV per atom: -5.173


Record 4
! Th2PbAu, optimized geometry, DFT PBE; values from VASP
&SYSTEM
  ibrav = 0, nat = 8, ntyp = 3
/
ATOMIC_SPECIES
Th 232.04 Th.upf
Pb 207.20 Pb.upf
Au 196.97 Au.upf
ATOMIC_POSITIONS angstrom
Th -0.106 1.090 3.397
Th 1.478 3.270 0.462
Th 1.764 1.090 7.861
Th 3.348 3.270 4.926
Pb 0.227 3.270 5.872
Pb 3.015 1.090 2.451
Au -1.669 1.090 6.581
Au 4.911 3.270 1.742
CELL_PARAMETERS angstrom
6.430 0.000 0.000
0.000 4.360 0.000
-3.188 0.000 8.323
! Relative energy among the computed polymorphs, eV per formula unit: 0.06
! DOS at the Fermi energy, states/eV/cell: 8.604
! Space group: P2_1/m, No. 11
! E_tot, eV per atom: -5.880


Record 5
! Th8Pb2Au, optimized geometry, DFT PBE; values from VASP
&SYSTEM
  ibrav = 0, nat = 11, ntyp = 3
/
ATOMIC_SPECIES
Th 232.04 Th.upf
Pb 207.20 Pb.upf
Au 196.97 Au.upf
ATOMIC_POSITIONS angstrom
Th -0.100 0.000 1.727
Th 3.027 0.000 5.197
Th 6.267 0.000 3.011
Th 8.379 0.000 0.050
Th 10.189 0.000 6.248
Th 12.301 0.000 3.287
Th 15.541 0.000 1.101
Th 18.668 0.000 4.571
Pb 3.207 0.000 1.682
Pb 15.360 0.000 4.616
Au 9.284 0.000 3.149
CELL_PARAMETERS angstrom
10.253 -2.698 0.000
10.253 2.698 0.000
-1.939 0.000 6.298
! DOS at the Fermi energy, states/eV/cell: 14.920
! Space group: C2/m, No. 12
! E_tot, eV per atom: -6.433


Record 6
! Th6PbAu5, optimized geometry, DFT PBE; values from VASP
&SYSTEM
  ibrav = 0, nat = 12, ntyp = 3
/
ATOMIC_SPECIES
Th 232.04 Th.upf
Pb 207.20 Pb.upf
Au 196.97 Au.upf
ATOMIC_POSITIONS angstrom
Th 2.665 1.858 -2.704
Th 0.000 1.811 0.000
Th 2.665 1.858 2.704
Th 0.000 1.943 5.134
Th 0.000 5.792 0.000
Th 0.000 1.943 10.542
Pb 0.000 0.000 7.838
Au 2.665 0.000 0.000
Au 0.000 0.000 2.618
Au 2.665 0.000 5.321
Au 0.000 3.801 2.517
Au 0.000 0.000 13.058
CELL_PARAMETERS angstrom
-2.665 3.801 7.838
2.665 -3.801 7.838
2.665 3.801 -7.838
! DOS at the Fermi energy, states/eV/cell: 14.122
! Space group: Immm, No. 71
! E_tot, eV per atom: -5.865


Record 7
! Th3PbAu, optimized geometry, DFT PBE; values from VASP
&SYSTEM
  ibrav = 0, nat = 10, ntyp = 3
/
ATOMIC_SPECIES
Th 232.04 Th.upf
Pb 207.20 Pb.upf
Au 196.97 Au.upf
ATOMIC_POSITIONS angstrom
Th 0.689 1.654 1.080
Th 0.708 0.049 4.908
Th 0.708 3.259 4.908
Th 3.613 3.357 2.561
Th 3.613 6.568 2.561
Th 3.633 4.963 6.389
Pb 0.464 4.963 2.052
Pb 3.858 1.654 5.417
Au 0.730 4.963 7.440
Au 3.592 1.654 0.029
CELL_PARAMETERS angstrom
6.081 0.000 0.000
0.000 6.617 0.000
-1.759 0.000 7.469
! DOS at the Fermi energy, states/eV/cell: 10.355
! Space group: P2_1/m, No. 11
! E_tot, eV per atom: -6.082


Record 8
! ThPbAu4, optimized geometry, DFT PBE; values from VASP
&SYSTEM
  ibrav = 0, nat = 6, ntyp = 3
/
ATOMIC_SPECIES
Th 232.04 Th.upf
Pb 207.20 Pb.upf
Au 196.97 Au.upf
ATOMIC_POSITIONS angstrom
Th 0.000 0.000 0.000
Pb 2.744 0.000 4.386
Au 1.372 1.655 2.141
Au 1.372 1.655 6.632
Au 1.372 -1.655 2.141
Au 1.372 -1.655 6.632
CELL_PARAMETERS angstrom
2.744 -3.309 0.000
2.744 3.309 0.000
0.000 0.000 8.773
! Relative energy among the computed polymorphs, eV per formula unit: 0.62
! DOS at the Fermi energy, states/eV/cell: 3.447
! Space group: Cmmm, No. 65
! E_tot, eV per atom: -4.264